Material: RhWN2Cl
Method: DFT, PBE
State: optimized geometry

```
RhWN2Cl
1.0
3.839 0.000 0.000
0.000 5.499 0.000
0.000 0.000 3.839
N Rh W Cl
2 1 1 1
direct
0.500 0.000 0.000
0.000 0.000 0.500
0.000 0.500 0.000
0.000 0.000 0.000
0.500 0.500 0.500
```

* E_form (uncorrected): 0.648 eV per atom
* SG: No. 123
* M_tot: 0.061 μB/atom
* DOS(E_F): 0.690 states/eV per atom